# PBE ScIn2Bi2, optimized geometry
data_ScIn2Bi2
_symmetry_space_group_name_H-M 'P 4/m b m'
_symmetry_Int_Tables_number 127
_symmetry_space_group_name_Hall '-P 4 2ab'
_cell_length_a 7.887
_cell_length_b 7.887
_cell_length_c 4.790
_cell_angle_alpha 90.00
_cell_angle_beta 90.00
_cell_angle_gamma 90.00
loop_
_atom_site_label
_atom_site_fract_x
_atom_site_fract_y
_atom_site_fract_z
Sc1 0.000 0.000 0.000
In1 0.167 0.333 0.500
Bi1 0.147 0.647 0.000
# Distance to the lowest polymorph of the same formula = 0 meV/atom
# Formation enthalpy at 0 K = -45 meV per atom